First-principles (PBE+U) data for crystalline ZnMo4O9 at its relaxed geometry, as listed in Alexandria via LeMat-Bulk.

E	-6.86	eV per atom

a b c (Å): 7.918 7.918 5.084
angles (deg): 90.00 90.00 90.00
Site moments in Bohr magnetons follow the coordinates.
Fractional coordinates of all 28 atoms:
1 Zn 0.000 0.500 0.237  0.05
2 Zn 0.500 0.000 0.763  0.05
3 Mo 0.288 0.610 0.733  1.96
4 Mo 0.610 0.712 0.267  1.96
5 Mo 0.110 0.212 0.733  1.96
6 Mo 0.788 0.110 0.267  1.96
7 Mo 0.712 0.390 0.733  1.96
8 Mo 0.890 0.788 0.733  1.96
9 Mo 0.212 0.890 0.267  1.96
10 Mo 0.390 0.288 0.267  1.96
11 O 0.500 0.500 0.500  -0.03
12 O 0.000 0.000 0.500  -0.03
13 O 0.588 0.235 0.011  0.00
14 O 0.265 0.088 0.011  0.00
15 O 0.735 0.912 0.011  0.00
16 O 0.412 0.765 0.011  0.00
17 O 0.912 0.265 0.989  0.00
18 O 0.235 0.412 0.989  0.00
19 O 0.765 0.588 0.989  0.00
20 O 0.088 0.735 0.989  0.00
21 O 0.803 0.601 0.496  -0.02
22 O 0.899 0.303 0.496  -0.02
23 O 0.101 0.697 0.496  -0.02
24 O 0.197 0.399 0.496  -0.02
25 O 0.303 0.101 0.504  -0.02
26 O 0.601 0.197 0.504  -0.02
27 O 0.399 0.803 0.504  -0.02
28 O 0.697 0.899 0.504  -0.02